Material: Sc2Cu3
Method: DFT, meta-GGA SCAN
State: single point on PBEsol structure

Cell lengths 5.0279, 5.0279, 7.5831 Å; angles 99.73, 99.73, 119.37 degrees
Positions (direct):
Sc 0.8322 0.4892 0.1005
Sc 0.3887 0.7317 0.8995
Sc 0.9817 0.1387 0.3995
Sc 0.7392 0.5822 0.6005
Cu 0.8082 0.1663 0.7469
Cu 0.4163 0.5582 0.2469
Cu 0.3016 0.8016 0.5000
Cu 0.3112 0.1693 0.7531
Cu 0.0516 0.0516 0.0000
Cu 0.4193 0.0612 0.2531

Values from the calculation:
Theoretical density: 5.918 g/cm3
Formation energy: -0.269 eV/atom
Space-group type: Fdd2 (43)


Material: ScCu3Se
Method: DFT, meta-GGA SCAN
State: single point on PBEsol structure

Cell lengths 4.4992, 4.4992, 4.4992 Å; angles 90.00, 90.00, 90.00 degrees
Positions (direct):
Se 0.0000 0.0000 0.0000
Cu 0.0000 0.5000 0.0000
Cu 0.5000 0.0000 0.0000
Cu 0.0000 0.0000 0.5000
Sc 0.5000 0.5000 0.5000

Values from the calculation:
Theoretical density: 5.735 g/cm3
Formation energy without anion corrections: 0.45 eV per atom
Space-group type: Pm-3m (221)


Material: ScCuSe2
Method: DFT, meta-GGA SCAN
State: single point on PBEsol structure

Cell lengths 7.6488, 9.0950, 9.1639 Å; angles 93.80, 90.00, 90.00 degrees
Positions (direct):
Sc 0.2585 0.5050 0.0086
Sc 0.7415 0.4950 0.9914
Sc 0.2415 0.0050 0.5086
Sc 0.0000 0.7420 0.7370
Sc 0.5000 0.2420 0.2370
Sc 0.0000 0.2580 0.2630
Sc 0.7585 0.9950 0.4914
Sc 0.5000 0.7580 0.7630
Se 0.4920 0.9569 0.2984
Se 0.2408 0.7934 0.9624
Se 0.7374 0.2877 0.4528
Se 0.0119 0.9612 0.2873
Se 0.7592 0.2066 0.0376
Se 0.0080 0.4569 0.7984
Se 0.5119 0.5388 0.2127
Se 0.2592 0.2934 0.4624
Se 0.2626 0.7123 0.5472
Se 0.5080 0.0431 0.7016
Se 0.9881 0.0388 0.7127
Se 0.2374 0.2123 0.0472
Se 0.9920 0.5431 0.2016
Se 0.4881 0.4612 0.7873
Se 0.7408 0.7066 0.5376
Se 0.7626 0.7877 0.9528
Cu 0.7517 0.4777 0.6506
Cu 0.2483 0.5223 0.3494
Cu 0.0029 0.7315 0.3998
Cu 0.5029 0.7685 0.1002
Cu 0.9971 0.2685 0.6002
Cu 0.2517 0.0223 0.8494
Cu 0.7483 0.9777 0.1506
Cu 0.4971 0.2315 0.8998

Values from the calculation:
Theoretical density: 5.564 g/cm3
Formation energy without anion corrections: -1.25 eV per atom
Space-group type: P2_1/c (14)


Material: ScCuSe2
Method: DFT, meta-GGA SCAN
State: single point on PBEsol structure

Cell lengths 3.5561, 3.5561, 8.1438 Å; angles 77.39, 77.39, 60.00 degrees
Positions (direct):
Se 0.1082 0.1082 0.6753
Se 0.8918 0.8918 0.3247
Sc 0.0000 0.0000 0.0000
Cu 0.5000 0.5000 0.5000

Values from the calculation:
Theoretical density: 5.126 g/cm3
Formation energy without anion corrections: -0.23 eV per atom
Space-group type: R-3m (166)


Material: ScCuSe2
Method: DFT, meta-GGA SCAN
State: single point on PBEsol structure

Cell lengths 3.8574, 6.5958, 7.2890 Å; angles 116.27, 105.34, 90.00 degrees
Positions (direct):
Cu 0.4348 0.0993 0.8696
Cu 0.5652 0.9007 0.1304
Sc 0.2403 0.2300 0.4807
Sc 0.7597 0.7700 0.5193
Se 0.3723 0.6924 0.7447
Se 0.6277 0.3076 0.2553
Se 0.8757 0.2243 0.7515
Se 0.1243 0.7757 0.2485

Values from the calculation:
Theoretical density: 5.568 g/cm3
Formation energy without anion corrections: -1.26 eV per atom
Space-group type: C2/m (12)


Material: ScCuSe2
Method: DFT, meta-GGA SCAN
State: single point on PBEsol structure

Cell lengths 4.6520, 4.6520, 4.6520 Å; angles 60.00, 60.00, 60.00 degrees
Positions (direct):
Se 0.2500 0.2500 0.2500
Se 0.0000 0.0000 0.0000
Cu 0.5000 0.5000 0.5000
Sc 0.7500 0.7500 0.7500

Values from the calculation:
Theoretical density: 6.215 g/cm3
Formation energy without anion corrections: -0.22 eV per atom
Space-group type: F-43m (216)


Material: ScCu2Se
Method: DFT, meta-GGA SCAN
State: single point on PBEsol structure

Cell lengths 3.9243, 3.9243, 5.4511 Å; angles 68.90, 68.90, 60.00 degrees
Positions (direct):
Se 0.0000 0.0000 0.0000
Cu 0.2694 0.2694 0.1917
Cu 0.7306 0.7306 0.8083
Sc 0.5000 0.5000 0.5000

Values from the calculation:
Theoretical density: 6.303 g/cm3
Formation energy without anion corrections: -0.17 eV per atom
Space-group type: R-3m (166)


Material: ScCuSe2
Method: DFT, meta-GGA SCAN
State: single point on PBEsol structure

Cell lengths 3.6466, 3.6466, 5.5789 Å; angles 90.00, 90.00, 90.00 degrees
Positions (direct):
Se 0.0000 0.0000 0.8997
Se 0.5000 0.5000 0.3413
Sc 0.5000 0.5000 0.7952
Cu 0.0000 0.0000 0.4638

Values from the calculation:
Theoretical density: 5.963 g/cm3
Formation energy without anion corrections: -1.09 eV per atom
Space-group type: P4mm (99)


Material: ScCuSe2
Method: DFT, meta-GGA SCAN
State: single point on PBEsol structure

Cell lengths 3.8848, 3.8848, 6.1985 Å; angles 90.00, 90.00, 120.00 degrees
Positions (direct):
Cu 0.3333 0.6667 0.3935
Se 0.3333 0.6667 0.7762
Se 0.6667 0.3333 0.2668
Sc 0.0000 0.0000 0.0062

Values from the calculation:
Theoretical density: 5.461 g/cm3
Formation energy without anion corrections: -1.24 eV per atom
Space-group type: P3m1 (156)


Material: ScCuSi
Method: DFT, meta-GGA SCAN
State: single point on PBEsol structure

Cell lengths 3.9509, 6.4806, 7.1246 Å; angles 90.00, 90.00, 90.00 degrees
Positions (direct):
Sc 0.7500 0.9936 0.6967
Sc 0.2500 0.0064 0.3033
Sc 0.7500 0.4936 0.8033
Sc 0.2500 0.5064 0.1967
Si 0.7500 0.7246 0.3938
Si 0.7500 0.2246 0.1062
Si 0.2500 0.7754 0.8938
Si 0.2500 0.2754 0.6062
Cu 0.2500 0.6619 0.5689
Cu 0.7500 0.3381 0.4311
Cu 0.2500 0.1619 0.9311
Cu 0.7500 0.8381 0.0689

Values from the calculation:
Theoretical density: 4.973 g/cm3
Formation energy without anion corrections: -0.70 eV per atom
Space-group type: Pnma (62)


Material: ScCuSi2
Method: DFT, meta-GGA SCAN
State: single point on PBEsol structure

Cell lengths 3.7173, 3.7173, 4.9622 Å; angles 112.00, 112.00, 90.00 degrees
Positions (direct):
Si 0.7500 0.2500 0.5000
Si 0.0000 0.0000 0.0000
Cu 0.5000 0.5000 0.0000
Sc 0.2500 0.7500 0.5000

Values from the calculation:
Theoretical density: 4.702 g/cm3
Formation energy without anion corrections: -0.25 eV per atom
Space-group type: I-4m2 (119)


Material: ScCu2Si2
Method: DFT, meta-GGA SCAN
State: single point on PBEsol structure

Cell lengths 3.7733, 3.7733, 5.6706 Å; angles 109.43, 109.43, 90.00 degrees
Positions (direct):
Cu 0.2500 0.7500 0.5000
Cu 0.7500 0.2500 0.5000
Si 0.3865 0.3865 0.7731
Si 0.6135 0.6135 0.2269
Sc 0.0000 0.0000 0.0000

Values from the calculation:
Theoretical density: 5.319 g/cm3
Formation energy without anion corrections: -0.54 eV per atom
Space-group type: I4/mmm (139)